PBE PrYHo2S4, relaxed; uncorrected formation energy = -15.9 eV per formula unit; crystal system = monoclinic; energy = -6.599 eV/atom
1.0
6.8419 0.0000 0.0000
0.0000 3.9018 0.0000
-2.2307 0.0000 6.5345
Pr Y Ho S
1 1 2 4
direct
0.0000 0.0000 0.0000
0.5000 0.5000 0.0000
0.0000 0.5000 0.5000
0.5000 0.0000 0.5000
0.2540 0.0000 0.7408
0.2623 0.5000 0.2649
0.7377 0.5000 0.7351
0.7460 0.0000 0.2592

PBE ZnReBr2, relaxed; uncorrected formation energy = 2.5 eV per formula unit; distance to the lowest polymorph of the same formula = 449.3 meV/atom; crystal system = trigonal; energy = -3.630 eV/atom
1.0
1.8250 1.0537 10.5783
-1.8250 1.0537 10.5783
0.0000 -2.1074 10.5783
Zn Re Br
1 1 2
direct
0.0000 0.0000 0.0000
0.5000 0.5000 0.5000
0.1198 0.1198 0.1198
0.8802 0.8802 0.8802

PBE Sr2Sb2Se, relaxed; uncorrected formation energy = -4.6 eV per formula unit; distance to the lowest polymorph of the same formula = 0.0 meV/atom; crystal system = tetragonal; energy = -3.948 eV/atom
1.0
8.3039 0.0000 0.0000
0.0000 8.3039 0.0000
0.0000 0.0000 5.0589
Sr Sb Se
4 4 2
direct
0.1814 0.3186 0.0000
0.3186 0.8186 0.0000
0.6814 0.1814 0.0000
0.8186 0.6814 0.0000
0.1167 0.6167 0.5000
0.3833 0.1167 0.5000
0.6167 0.8833 0.5000
0.8833 0.3833 0.5000
0.0000 0.0000 0.0000
0.5000 0.5000 0.0000

PBE LaPm2Al, relaxed; distance to the lowest polymorph of the same formula = 13.3 meV/atom; crystal system = tetragonal; formation energy from the elements = -171 meV/atom; energy = -4.714 eV/atom
1.0
4.9183 0.0000 0.0000
0.0000 4.9183 0.0000
0.0000 0.0000 4.8613
La Pm Al
1 2 1
direct
0.0000 0.0000 0.0000
0.0000 0.5000 0.5000
0.5000 0.0000 0.5000
0.5000 0.5000 0.0000

PBE Ca4Pu3MoN8, relaxed; uncorrected formation energy = -17.2 eV per formula unit; crystal system = trigonal; energy = -9.102 eV/atom
1.0
3.4017 1.9640 5.6189
-3.4017 1.9640 5.6189
0.0000 -3.9279 5.6189
Ca Pu Mo N
4 3 1 8
direct
0.0000 0.0000 0.0000
0.0000 0.5000 0.5000
0.5000 0.0000 0.5000
0.5000 0.5000 0.0000
0.0000 0.0000 0.5000
0.0000 0.5000 0.0000
0.5000 0.0000 0.0000
0.5000 0.5000 0.5000
0.2392 0.2392 0.2392
0.2528 0.7301 0.7301
0.2699 0.2699 0.7472
0.2699 0.7472 0.2699
0.7301 0.2528 0.7301
0.7301 0.7301 0.2528
0.7472 0.2699 0.2699
0.7608 0.7608 0.7608

PBE Li2Mg2In2Pb, relaxed; crystal system = monoclinic; formation energy from the elements = -132 meV/atom; energy = -2.447 eV/atom
1.0
4.0238 -2.6523 0.0000
4.0238 2.6523 0.0000
-3.9496 0.0000 7.4794
Li Mg In Pb
2 2 2 1
direct
0.0838 0.0838 0.3648
0.9162 0.9162 0.6352
0.3491 0.3491 0.7801
0.6509 0.6509 0.2199
0.2111 0.2111 0.0688
0.7889 0.7889 0.9312
0.5000 0.5000 0.5000